No. 1
Density functional theory data (PBE) for crystalline AcPr12Sm5 at its relaxed geometry.

Output
The value obtained for the electronic total energy is -4.7080 eV per atom. The energy relative to the elements is 0.0175 eV/atom.

Cell: 11.119 11.119 5.242 Å, 90.00 90.00 90.02°
Positions (direct):
Ac 0.000 0.000 0.000
Pr 0.001 0.336 0.000
Pr 0.169 0.499 0.500
Pr 0.170 0.830 0.500
Pr 0.335 0.665 0.000
Pr 0.336 0.001 0.000
Pr 0.499 0.169 0.500
Pr 0.501 0.831 0.500
Pr 0.664 0.999 0.000
Pr 0.665 0.335 0.000
Pr 0.830 0.170 0.500
Pr 0.831 0.501 0.500
Pr 0.999 0.664 0.000
Sm 0.170 0.170 0.500
Sm 0.333 0.333 0.000
Sm 0.500 0.500 0.500
Sm 0.667 0.667 0.000
Sm 0.830 0.830 0.500

***

No. 2
Density functional theory data (PBE) for crystalline AcPr4Sm3 at its relaxed geometry.

Output
The value obtained for the electronic total energy is -4.6541 eV per atom. The energy above the lowest structure with this stoichiometry comes out at 0.000 eV per atom. The energy relative to the elements is 0.0189 eV/atom.

Cell: 10.495 7.441 7.423 Å, 90.00 90.00 90.00°
Positions (direct):
Ac 0.000 0.000 0.000
Ac 0.500 0.000 0.500
Pr 0.000 0.000 0.500
Pr 0.000 0.500 0.000
Pr 0.250 0.256 0.250
Pr 0.250 0.744 0.750
Pr 0.500 0.000 0.000
Pr 0.500 0.500 0.500
Pr 0.750 0.256 0.250
Pr 0.750 0.744 0.750
Sm 0.000 0.500 0.500
Sm 0.250 0.255 0.750
Sm 0.250 0.745 0.250
Sm 0.500 0.500 0.000
Sm 0.750 0.255 0.750
Sm 0.750 0.745 0.250

***

No. 3
Density functional theory data (PBE) for crystalline Ac4PrSm at its relaxed geometry.

Output
The value obtained for the electronic total energy is -3.9940 eV per atom. The energy above the lowest structure with this stoichiometry comes out at 0.297 eV per atom. The energy relative to the elements is 0.3281 eV/atom.

Cell: 7.182 7.182 7.182 Å, 60.00 60.00 60.00°
Positions (direct):
Ac 0.125 0.125 0.125
Ac 0.125 0.125 0.626
Ac 0.125 0.626 0.125
Ac 0.626 0.125 0.125
Pr 0.500 0.500 0.500
Sm 0.750 0.750 0.750

***

No. 4
Density functional theory data (PBE) for crystalline Ac3Pr2Sm at its relaxed geometry.

Output
The value obtained for the electronic total energy is -4.3805 eV per atom. The energy above the lowest structure with this stoichiometry comes out at 0.000 eV per atom. The energy relative to the elements is 0.0534 eV/atom.

Cell: 9.141 3.922 13.536 Å, 90.00 90.29 90.00°
Positions (direct):
Ac 0.088 0.250 0.390
Ac 0.336 0.750 0.945
Ac 0.399 0.750 0.250
Ac 0.601 0.250 0.750
Ac 0.664 0.250 0.055
Ac 0.912 0.750 0.610
Pr 0.078 0.250 0.111
Pr 0.354 0.750 0.552
Pr 0.646 0.250 0.448
Pr 0.922 0.750 0.889
Sm 0.189 0.250 0.743
Sm 0.811 0.750 0.257

***

No. 5
Density functional theory data (PBE) for crystalline AcPrSm14 at its relaxed geometry.

Output
The value obtained for the electronic total energy is -4.6475 eV per atom. The energy relative to the elements is 0.0372 eV/atom.

Cell: 11.806 7.387 7.387 Å, 60.11 90.00 90.00°
Positions (direct):
Ac 0.000 0.000 0.000
Pr 0.000 0.500 0.500
Sm 0.000 0.003 0.500
Sm 0.000 0.500 0.003
Sm 0.251 0.668 0.668
Sm 0.254 0.169 0.169
Sm 0.255 0.169 0.666
Sm 0.255 0.666 0.169
Sm 0.500 0.000 0.501
Sm 0.500 0.001 0.001
Sm 0.500 0.501 0.000
Sm 0.500 0.501 0.501
Sm 0.745 0.169 0.666
Sm 0.745 0.666 0.169
Sm 0.746 0.169 0.169
Sm 0.749 0.668 0.668

***

No. 6
Density functional theory data (PBE) for crystalline Ac4Pr3Sm2 at its relaxed geometry.

Output
The value obtained for the electronic total energy is -4.4326 eV per atom. The energy above the lowest structure with this stoichiometry comes out at 0.000 eV per atom. The energy relative to the elements is 0.0352 eV/atom.

Cell: 6.560 6.560 11.441 Å, 105.68 105.68 49.09°
Positions (direct):
Ac 0.002 0.002 0.332
Ac 0.333 0.333 0.111
Ac 0.667 0.667 0.889
Ac 0.998 0.998 0.668
Pr 0.000 0.000 0.000
Pr 0.334 0.334 0.447
Pr 0.666 0.666 0.553
Sm 0.330 0.330 0.774
Sm 0.670 0.670 0.226

***

No. 7
Density functional theory data (PBE) for crystalline Ac3PrSm8 at its relaxed geometry.

Output
The value obtained for the electronic total energy is -4.3176 eV per atom. The energy relative to the elements is 0.2539 eV/atom.

Cell: 9.242 9.242 9.242 Å, 137.66 118.29 77.70°
Positions (direct):
Ac 0.000 0.000 0.000
Ac 0.131 0.631 0.500
Ac 0.869 0.369 0.500
Pr 0.500 0.500 0.000
Sm 0.144 0.154 0.713
Sm 0.241 0.769 0.218
Sm 0.441 0.432 0.287
Sm 0.449 0.231 0.473
Sm 0.551 0.023 0.782
Sm 0.559 0.846 0.990
Sm 0.759 0.977 0.527
Sm 0.856 0.568 0.010

***

No. 8
Density functional theory data (PBE) for crystalline Ac8Pr3Sm3 at its relaxed geometry.

Output
The value obtained for the electronic total energy is -4.1809 eV per atom. The energy relative to the elements is 0.2022 eV/atom.

Cell: 9.755 9.755 6.402 Å, 100.99 100.99 89.68°
Positions (direct):
Ac 0.110 0.630 0.947
Ac 0.220 0.480 0.442
Ac 0.370 0.890 0.053
Ac 0.480 0.220 0.442
Ac 0.520 0.780 0.558
Ac 0.630 0.110 0.947
Ac 0.780 0.520 0.558
Ac 0.890 0.370 0.053
Pr 0.230 0.230 0.851
Pr 0.500 0.500 0.000
Pr 0.770 0.770 0.149
Sm 0.000 0.000 0.000
Sm 0.133 0.867 0.500
Sm 0.867 0.133 0.500

***

No. 9
Density functional theory data (PBE) for crystalline Ac6Pr8Sm at its relaxed geometry.

Output
The value obtained for the electronic total energy is -4.4019 eV per atom. The energy relative to the elements is 0.1051 eV/atom.

Cell: 9.255 9.255 9.255 Å, 62.80 62.80 62.80°
Positions (direct):
Ac 0.042 0.590 0.741
Ac 0.259 0.958 0.410
Ac 0.410 0.259 0.958
Ac 0.590 0.741 0.042
Ac 0.741 0.042 0.590
Ac 0.958 0.410 0.259
Pr 0.075 0.075 0.075
Pr 0.206 0.612 0.262
Pr 0.262 0.206 0.612
Pr 0.388 0.738 0.794
Pr 0.612 0.262 0.206
Pr 0.738 0.794 0.388
Pr 0.794 0.388 0.738
Pr 0.925 0.925 0.925
Sm 0.500 0.500 0.500

***

No. 10
Density functional theory data (PBE) for crystalline Ac2PrSm9 at its relaxed geometry.

Output
The value obtained for the electronic total energy is -4.5929 eV per atom. The energy relative to the elements is 0.0295 eV/atom.

Cell: 5.220 5.220 15.673 Å, 90.00 90.00 90.00°
Positions (direct):
Ac 0.000 0.000 0.168
Ac 0.000 0.000 0.832
Pr 0.000 0.000 0.500
Sm 0.000 0.500 0.000
Sm 0.000 0.500 0.338
Sm 0.000 0.500 0.662
Sm 0.500 0.000 0.000
Sm 0.500 0.000 0.338
Sm 0.500 0.000 0.662
Sm 0.500 0.500 0.169
Sm 0.500 0.500 0.500
Sm 0.500 0.500 0.831

***

No. 11
Density functional theory data (PBE) for crystalline Ac3Pr6Sm2 at its relaxed geometry.

Output
The value obtained for the electronic total energy is -4.5561 eV per atom. The energy relative to the elements is 0.0295 eV/atom.

Cell: 33.787 33.787 33.787 Å, 6.43 6.43 6.43°
Positions (direct):
Ac 0.000 0.000 0.000
Ac 0.271 0.271 0.271
Ac 0.729 0.729 0.729
Pr 0.093 0.093 0.093
Pr 0.182 0.182 0.182
Pr 0.364 0.364 0.364
Pr 0.636 0.636 0.636
Pr 0.818 0.818 0.818
Pr 0.907 0.907 0.907
Sm 0.456 0.456 0.456
Sm 0.544 0.544 0.544

***

No. 12
Density functional theory data (PBE) for crystalline AcPr8Sm3 at its relaxed geometry.

Output
The value obtained for the electronic total energy is -4.3963 eV per atom. The energy relative to the elements is 0.3122 eV/atom.

Cell: 9.008 9.008 9.008 Å, 136.38 98.47 97.40°
Positions (direct):
Ac 0.000 0.000 0.000
Pr 0.081 0.254 0.827
Pr 0.274 0.231 0.504
Pr 0.274 0.769 0.043
Pr 0.427 0.254 0.173
Pr 0.573 0.746 0.827
Pr 0.726 0.231 0.957
Pr 0.726 0.769 0.496
Pr 0.919 0.746 0.173
Sm 0.274 0.774 0.500
Sm 0.500 0.500 0.000
Sm 0.726 0.226 0.500

***

What is the formula in the third record?
Ac4PrSm